This record from Alexandria via LeMat-Bulk describes a relaxed KCd2W crystal. The functional is GGA-PBE.

Lattice parameters (Å, degrees): 5.499 5.499 2.869 90.00 90.00 90.00
Sites, in units of the cell vectors:
K  0.000  0.000  0.000
Cd  0.000  0.500  0.500
Cd  0.500  0.000  0.500
W  0.500  0.500  0.000

total magnetic moment: 0.00 μB per cell
raw total energy: -0.11740 Ha/atom
crystal system: tetragonal
offset from the most stable computed form: 142.5 meV/atom
SG: P4/mmm (123)